Material: Tm5Ag4Os
Method: DFT, PBE-GGA
State: relaxed

Computed properties:
DFT formation energy: -340 meV per atom
DFT total energy: -0.178 Ha/atom
N(E_F): 0.6223 states/eV per atom

Cell: 3.4851 3.4851 18.2544 Å, 90.00 90.00 90.00°
Closest atoms and distances in Å follow each position.
Element x y z (fractional)
Tm: 0.0000 0.0000 0.0000  8 Ag 3.08
Tm: 0.0000 0.0000 0.2034  8 Ag 3.08-3.09
Tm: 0.0000 0.0000 0.4116  4 Os 2.95, 4 Ag 3.15, 1 Tm 3.23
Tm: 0.0000 0.0000 0.5884  4 Os 2.95, 4 Ag 3.15, 1 Tm 3.23
Tm: 0.0000 0.0000 0.7966  8 Ag 3.08-3.09
Ag: 0.5000 0.5000 0.1012  8 Tm 3.08-3.09
Ag: 0.5000 0.5000 0.3043  8 Tm 3.08-3.15
Ag: 0.5000 0.5000 0.6957  8 Tm 3.08-3.15
Ag: 0.5000 0.5000 0.8988  8 Tm 3.08-3.09
Os: 0.5000 0.5000 0.5000  8 Tm 2.95



Material: Pr3Cu
Method: DFT, PBE-GGA
State: relaxed

Computed properties:
DFT formation energy: -8 meV per atom
DFT total energy: -0.170 Ha/atom
N(E_F): 1.3003 states/eV per atom

Cell: 6.5882 6.5882 6.5882 Å, 147.35 62.54 128.25°
Closest atoms and distances in Å follow each position.
Element x y z (fractional)
Pr: 0.0000 0.0000 0.0000  2 Cu 3.03
Pr: 0.3368 0.5413 0.7954  2 Cu 3.04
Pr: 0.7459 0.5413 0.2046  2 Cu 3.04
Cu: 0.4177 0.9177 0.5000  6 Pr 3.03-3.04



Material: RhWSN2
Method: DFT, PBE-GGA
State: relaxed

Computed properties:
Raw formation energy: 1.61 eV per atom
DFT total energy: -0.243 Ha/atom
N(E_F): 0.9137 states/eV per atom

Cell: 3.8323 3.8323 4.7710 Å, 90.00 90.00 90.00°
Closest atoms and distances in Å follow each position.
Element x y z (fractional)
Rh: 0.0000 0.0000 0.0000  4 N 1.92
W: 0.5000 0.5000 0.5000  4 S 2.71
S: 0.0000 0.0000 0.5000  2 Rh 2.39
N: 0.0000 0.5000 0.0000  2 Rh 1.92
N: 0.5000 0.0000 0.0000  2 Rh 1.92



Material: La2CeGe2
Method: DFT, PBE-GGA
State: relaxed

Computed properties:
DFT formation energy: -529 meV per atom
DFT total energy: -0.203 Ha/atom
N(E_F): 1.4295 states/eV per atom

Cell: 8.7423 8.7423 5.3902 Å, 90.00 90.00 135.47°
Closest atoms and distances in Å follow each position.
Element x y z (fractional)
La: 0.0759 0.9241 0.7500  4 Ge 3.19
La: 0.2946 0.7054 0.2500  2 Ge 3.07
La: 0.7054 0.2946 0.7500  2 Ge 3.07
La: 0.9241 0.0759 0.2500  4 Ge 3.19
Ce: 0.5000 0.5000 0.0000  2 Ce 2.70
Ce: 0.5000 0.5000 0.5000  2 Ce 2.70
Ge: 0.0951 0.3516 0.7500  1 Ge 2.96, 3 La 3.07-3.19, 2 Ce 3.08
Ge: 0.3516 0.0951 0.2500  1 Ge 2.96, 3 La 3.07-3.19, 2 Ce 3.08
Ge: 0.6484 0.9049 0.7500  1 Ge 2.96, 3 La 3.07-3.19, 2 Ce 3.08
Ge: 0.9049 0.6484 0.2500  1 Ge 2.96, 3 La 3.07-3.19, 2 Ce 3.08



Material: HfTiI2O
Method: DFT, PBE-GGA
State: relaxed

Computed properties:
Raw formation energy: -0.62 eV per atom
DFT total energy: -0.213 Ha/atom
N(E_F): 1.0516 states/eV per atom

Cell: 5.8106 5.8106 3.9275 Å, 90.00 90.00 90.00°
Closest atoms and distances in Å follow each position.
Element x y z (fractional)
Hf: 0.0000 0.0000 0.0000  2 O 1.96
Ti: 0.5000 0.5000 0.5000  8 I 3.51, 2 Ti 3.93
I: 0.0000 0.5000 0.0000  2 Hf 2.91
I: 0.5000 0.0000 0.0000  2 Hf 2.91
O: 0.0000 0.0000 0.5000  2 Hf 1.96



Material: KTlS2
Method: DFT, PBE-GGA
State: relaxed

Computed properties:
Raw formation energy: -0.56 eV per atom
DFT total energy: -0.128 Ha/atom
N(E_F): 0.0000 states/eV per atom

Cell: 4.0595 4.0595 7.7169 Å, 105.34 105.34 59.78°
Closest atoms and distances in Å follow each position.
Element x y z (fractional)
K: 0.0000 0.0000 0.0000  6 S 3.20
Tl: 0.5000 0.5000 0.5000  6 S 2.77-2.79
S: 0.2332 0.2332 0.7027  3 Tl 2.77-2.79
S: 0.7668 0.7668 0.2973  3 Tl 2.77-2.79



Material: KRh2Pb
Method: DFT, PBE-GGA
State: relaxed

Computed properties:
DFT formation energy: 349 meV per atom
DFT total energy: -0.166 Ha/atom
N(E_F): 1.0254 states/eV per atom

Cell: 5.3294 5.3294 6.3827 Å, 103.11 103.11 34.26°
Closest atoms and distances in Å follow each position.
Element x y z (fractional)
K: 0.0000 0.0000 0.0000  5 Rh 3.11-3.46, 2 K 3.14
Rh: 0.4722 0.4722 0.5228  2 Rh 2.62, 3 Pb 2.76-2.86
Rh: 0.7907 0.7907 0.2843  2 Rh 2.62, 2 Pb 2.73
Pb: 0.2002 0.2002 0.5710  5 Rh 2.73-2.86



Material: La2Er4H
Method: DFT, PBE-GGA
State: relaxed

Computed properties:
DFT total energy: -0.162 Ha/atom
N(E_F): 1.3496 states/eV per atom

Cell: 9.3363 9.3363 9.3363 Å, 149.61 149.61 43.51°
Closest atoms and distances in Å follow each position.
Element x y z (fractional)
La: 0.1506 0.1506 0.0000  9 Er 3.46-3.58
La: 0.8494 0.8494 0.0000  9 Er 3.46-3.58
Er: 0.0000 0.5000 0.5000  2 H 2.45
Er: 0.3552 0.3552 0.0000  1 H 2.51
Er: 0.5000 0.0000 0.5000  2 H 2.45
Er: 0.6448 0.6448 0.0000  1 H 2.51
H: 0.5000 0.5000 0.0000  6 Er 2.45-2.51



Material: Ta3RePd
Method: DFT, PBE-GGA
State: relaxed

Computed properties:
DFT formation energy: 1769 meV per atom
DFT total energy: -0.326 Ha/atom
N(E_F): 1.1010 states/eV per atom

Cell: 4.7329 4.7329 4.7329 Å, 90.00 90.00 90.00°
Closest atoms and distances in Å follow each position.
Element x y z (fractional)
Ta: 0.0000 0.0000 0.5000  2 Pd 2.37
Ta: 0.0000 0.5000 0.0000  2 Pd 2.37
Ta: 0.5000 0.0000 0.0000  2 Pd 2.37
Re: 0.5000 0.5000 0.5000  12 Ta 3.35
Pd: 0.0000 0.0000 0.0000  6 Ta 2.37



Material: Zr4ScRu5
Method: DFT, PBE-GGA
State: relaxed

Computed properties:
DFT formation energy: -661 meV per atom
DFT total energy: -0.344 Ha/atom
N(E_F): 0.2212 states/eV per atom

Cell: 3.2653 3.2653 16.3524 Å, 90.00 90.00 90.00°
Closest atoms and distances in Å follow each position.
Element x y z (fractional)
Zr: 0.0000 0.0000 0.1012  8 Ru 2.82-2.84
Zr: 0.0000 0.0000 0.3040  8 Ru 2.78-2.87
Zr: 0.0000 0.0000 0.6960  8 Ru 2.78-2.87
Zr: 0.0000 0.0000 0.8988  8 Ru 2.82-2.84
Sc: 0.0000 0.0000 0.5000  8 Ru 2.84
Ru: 0.5000 0.5000 0.0000  8 Zr 2.84
Ru: 0.5000 0.5000 0.2000  8 Zr 2.82-2.87
Ru: 0.5000 0.5000 0.3991  4 Zr 2.78, 4 Sc 2.84
Ru: 0.5000 0.5000 0.6009  4 Zr 2.78, 4 Sc 2.84
Ru: 0.5000 0.5000 0.8000  8 Zr 2.82-2.87



Material: BaFeIr2
Method: DFT, PBE-GGA
State: relaxed

Computed properties:
DFT formation energy: 1265 meV per atom
DFT total energy: -0.212 Ha/atom
N(E_F): 3.4928 states/eV per atom

Cell: 4.7437 4.7437 4.7437 Å, 60.00 60.00 60.00°
Closest atoms and distances in Å follow each position.
Element x y z (fractional)
Ba: 0.0000 0.0000 0.0000  8 Ir 2.90
Fe: 0.5000 0.5000 0.5000  8 Ir 2.90
Ir: 0.2500 0.2500 0.2500  4 Fe 2.90, 4 Ba 2.90
Ir: 0.7500 0.7500 0.7500  4 Fe 2.90, 4 Ba 2.90



Material: TlOsPd2I
Method: DFT, PBE-GGA
State: relaxed

Computed properties:
Raw formation energy: 1.65 eV per atom
DFT total energy: -0.127 Ha/atom
N(E_F): 0.7155 states/eV per atom

Cell: 4.9413 4.9413 6.3332 Å, 90.00 90.00 90.00°
Closest atoms and distances in Å follow each position.
Element x y z (fractional)
Tl: 0.0000 0.0000 0.0000  2 I 3.17, 4 Os 3.49
Os: 0.5000 0.5000 0.0000  4 Tl 3.49
Pd: 0.0000 0.5000 0.5000  2 I 2.47
Pd: 0.5000 0.0000 0.5000  2 I 2.47
I: 0.0000 0.0000 0.5000  4 Pd 2.47



Material: Er3CdAu
Method: DFT, PBE-GGA
State: relaxed

Computed properties:
DFT formation energy: -280 meV per atom
DFT total energy: -0.142 Ha/atom
N(E_F): 1.0065 states/eV per atom

Cell: 9.3615 9.3615 3.6858 Å, 90.00 90.00 116.65°
Closest atoms and distances in Å follow each position.
Element x y z (fractional)
Er: 0.1614 0.8386 0.0000  2 Au 2.83, 2 Cd 3.16
Er: 0.1909 0.4133 0.5000  2 Au 2.92, 2 Cd 3.21
Er: 0.4133 0.1909 0.5000  2 Au 2.92, 2 Cd 3.21
Er: 0.5867 0.8091 0.5000  2 Au 2.92, 2 Cd 3.21
Er: 0.8091 0.5867 0.5000  2 Au 2.92, 2 Cd 3.21
Er: 0.8386 0.1614 0.0000  2 Au 2.83, 2 Cd 3.16
Cd: 0.0000 0.0000 0.5000  8 Er 3.16-3.46
Cd: 0.5000 0.5000 0.0000  8 Er 3.21
Au: 0.0000 0.5000 0.0000  6 Er 2.83-2.92
Au: 0.5000 0.0000 0.0000  6 Er 2.83-2.92



Material: LiTl4Pb15
Method: DFT, PBE-GGA
State: relaxed

Computed properties:
DFT formation energy: -14 meV per atom
DFT total energy: -0.124 Ha/atom
N(E_F): 0.6571 states/eV per atom

Cell: 4.9495 4.9495 25.0639 Å, 90.00 90.00 90.00°
Closest atoms and distances in Å follow each position.
Element x y z (fractional)
Li: 0.0000 0.0000 0.0000  12 Pb 3.42-3.50
Tl: 0.0000 0.0000 0.1970  12 Pb 3.50-3.58
Tl: 0.0000 0.0000 0.3985  12 Pb 3.50-3.56
Tl: 0.0000 0.0000 0.6015  12 Pb 3.50-3.56
Tl: 0.0000 0.0000 0.8030  12 Pb 3.50-3.58
Pb: 0.0000 0.5000 0.0940  8 Pb 3.42-3.58, 2 Li 3.42, 2 Tl 3.58
Pb: 0.0000 0.5000 0.2962  8 Pb 3.50-3.58, 4 Tl 3.51-3.56
Pb: 0.0000 0.5000 0.5000  8 Pb 3.50-3.53, 4 Tl 3.55
Pb: 0.0000 0.5000 0.7038  8 Pb 3.50-3.58, 4 Tl 3.51-3.56
Pb: 0.0000 0.5000 0.9060  8 Pb 3.42-3.58, 2 Li 3.42, 2 Tl 3.58
Pb: 0.5000 0.0000 0.0940  8 Pb 3.42-3.58, 2 Li 3.42, 2 Tl 3.58
Pb: 0.5000 0.0000 0.2962  8 Pb 3.50-3.58, 4 Tl 3.51-3.56
Pb: 0.5000 0.0000 0.5000  8 Pb 3.50-3.53, 4 Tl 3.55
Pb: 0.5000 0.0000 0.7038  8 Pb 3.50-3.58, 4 Tl 3.51-3.56
Pb: 0.5000 0.0000 0.9060  8 Pb 3.42-3.58, 2 Li 3.42, 2 Tl 3.58
Pb: 0.5000 0.5000 0.0000  8 Pb 3.42, 4 Li 3.50
Pb: 0.5000 0.5000 0.1971  4 Tl 3.50, 8 Pb 3.51-3.58
Pb: 0.5000 0.5000 0.3993  4 Tl 3.50, 8 Pb 3.53-3.58
Pb: 0.5000 0.5000 0.6007  4 Tl 3.50, 8 Pb 3.53-3.58
Pb: 0.5000 0.5000 0.8029  4 Tl 3.50, 8 Pb 3.51-3.58



Material: BaPaSe3Cl
Method: DFT, PBE-GGA
State: relaxed

Computed properties:
Raw formation energy: -1.54 eV per atom
DFT total energy: -0.202 Ha/atom

Cell: 10.2981 10.2981 7.1633 Å, 90.00 90.00 152.17°
Closest atoms and distances in Å follow each position.
Element x y z (fractional)
Ba: 0.0609 0.9391 0.7500  2 Cl 2.92
Ba: 0.9391 0.0609 0.2500  2 Cl 2.92
Pa: 0.2994 0.7006 0.7500  7 Se 2.72-2.95
Pa: 0.7006 0.2994 0.2500  7 Se 2.72-2.95
Se: 0.1932 0.8068 0.0278  3 Pa 2.91-2.95, 1 Se 3.18
Se: 0.1932 0.8068 0.4722  3 Pa 2.91-2.95, 1 Se 3.18
Se: 0.4357 0.5643 0.7500  1 Pa 2.72
Se: 0.5643 0.4357 0.2500  1 Pa 2.72
Se: 0.8068 0.1932 0.5278  3 Pa 2.91-2.95, 1 Se 3.18
Se: 0.8068 0.1932 0.9722  3 Pa 2.91-2.95, 1 Se 3.18
Cl: 0.3616 0.6384 0.2500  2 Ba 2.92
Cl: 0.6384 0.3616 0.7500  2 Ba 2.92



Material: Hf2GaN
Method: DFT, PBE-GGA
State: relaxed

Computed properties:
Raw formation energy: -1.09 eV per atom
DFT total energy: -0.327 Ha/atom
N(E_F): 0.3150 states/eV per atom

Cell: 7.2543 7.2543 7.2543 Å, 25.56 25.56 25.56°
Closest atoms and distances in Å follow each position.
Element x y z (fractional)
Hf: 0.2268 0.2268 0.2268  3 N 2.24
Hf: 0.7732 0.7732 0.7732  3 N 2.24
Ga: 0.0000 0.0000 0.0000  6 Hf 2.91, 6 Ga 3.21
N: 0.5000 0.5000 0.5000  6 Hf 2.24



Material: LiBeSi
Method: DFT, PBE-GGA
State: relaxed

Computed properties:
Raw formation energy: 0.01 eV per atom
DFT total energy: -0.135 Ha/atom
N(E_F): 0.3945 states/eV per atom

Cell: 4.7150 4.7150 4.7150 Å, 121.37 115.60 92.71°
Closest atoms and distances in Å follow each position.
Element x y z (fractional)
Li: 0.3695 0.1195 0.2500  6 Be 2.67-2.89, 6 Si 2.74-2.78, 4 Li 2.87-2.96
Li: 0.6305 0.8805 0.7500  6 Be 2.67-2.89, 6 Si 2.74-2.78, 4 Li 2.87-2.96
Be: 0.0000 0.0000 0.5000  2 Be 2.31, 4 Si 2.36
Be: 0.0000 0.5000 0.0000  2 Be 2.31, 4 Si 2.36
Si: 0.0000 0.5000 0.5000  4 Be 2.36, 2 Si 2.51
Si: 0.5000 0.5000 0.0000  4 Be 2.36, 2 Si 2.51



Material: Li6In2Pb
Method: DFT, PBE-GGA
State: relaxed

Computed properties:
DFT formation energy: -268 meV per atom
DFT total energy: -0.094 Ha/atom
N(E_F): 0.3012 states/eV per atom

Cell: 5.5883 5.5883 5.5883 Å, 93.78 93.78 93.78°
Closest atoms and distances in Å follow each position.
Element x y z (fractional)
Li: 0.0000 0.3335 0.6665  5 Li 2.72-3.01
Li: 0.0000 0.6665 0.3335  5 Li 2.72-3.01
Li: 0.3335 0.0000 0.6665  5 Li 2.72-3.01
Li: 0.3335 0.6665 0.0000  5 Li 2.72-3.01
Li: 0.6665 0.0000 0.3335  5 Li 2.72-3.01
Li: 0.6665 0.3335 0.0000  5 Li 2.72-3.01
In: 0.1607 0.1607 0.1607  1 In 2.90, 1 Pb 3.06, 12 Li 3.08-3.13
In: 0.8393 0.8393 0.8393  1 In 2.90, 1 Pb 3.06, 12 Li 3.08-3.13
Pb: 0.5000 0.5000 0.5000  2 In 3.06, 12 Li 3.11



Material: Al3As
Method: DFT, PBE-GGA
State: relaxed

Computed properties:
DFT formation energy: 102 meV per atom
DFT total energy: -0.142 Ha/atom
N(E_F): 0.3155 states/eV per atom

Cell: 2.6841 4.8734 5.5774 Å, 90.00 95.31 90.00°
Closest atoms and distances in Å follow each position.
Element x y z (fractional)
Al: 0.0000 0.0000 0.0000  6 Al 2.68-2.86, 2 As 2.79
Al: 0.2220 0.5000 0.7653  6 Al 2.68-2.98, 2 As 2.88
Al: 0.7780 0.5000 0.2347  6 Al 2.68-2.98, 2 As 2.88
As: 0.0000 0.0000 0.5000  2 As 2.68, 6 Al 2.79-2.88



Material: La2SbBr
Method: DFT, PBE-GGA
State: relaxed

Computed properties:
Raw formation energy: -0.60 eV per atom
DFT total energy: -0.166 Ha/atom
N(E_F): 0.9431 states/eV per atom

Cell: 11.4910 11.4910 11.4910 Å, 19.44 19.44 19.44°
Closest atoms and distances in Å follow each position.
Element x y z (fractional)
La: 0.0000 0.0000 0.0000  3 Br 3.03
La: 0.2443 0.2443 0.2443  3 Sb 3.31
Sb: 0.5055 0.5055 0.5055  3 La 3.31
Br: 0.7272 0.7272 0.7272  3 La 3.03